Compound: SrCrRh2
Source: Alexandria
Functional: PBE
Structure: relaxed

Values from the calculation:
The value obtained for the uncorrected energy is -25.0 eV for the cell shown. The formation energy comes out at 0.249 eV per atom. As for the total magnetization: 2.677 μB/f.u. As for the energy above the most stable polymorph in this dataset: 197.9 meV per atom.

Unit cell a=3.0136 b=4.4617 c=5.7645 alpha=90.00 beta=95.37 gamma=90.00
With the nearest neighbours (Å) after each atom.
Element x y z (fractional)
Sr 0.0000 0.0000 0.0000  7 Rh 3.01-3.33, 2 Sr 3.01, 2 Cr 3.31
Cr 0.8907 0.5000 0.4152  6 Rh 2.49-2.78
Rh 0.4363 0.0000 0.4907  4 Cr 2.67-2.78, 2 Rh 2.72
Rh 0.4564 0.5000 0.7626  2 Cr 2.49-2.51, 2 Rh 2.72